The following is a DFT calculation (GGA-PBE) of crystalline LuAl6Cr6 at its relaxed geometry.

Summary:
For the density, the calculation gives 5.6 Mg/m³. The total energy comes out at -6.649 eV/atom. Its formation energy is -13 kJ/mol of atoms. Its density of states at the Fermi level is 17.29 states/eV/cell. The magnetic moment is 0.13 μB/f.u.

Structure (CIF):
```
data_LuAl6Cr6
_symmetry_space_group_name_H-M 'I m m m'
_symmetry_Int_Tables_number 71
_symmetry_space_group_name_Hall '-I 2 2'
_cell_length_a 5.044
_cell_length_b 8.668
_cell_length_c 8.774
_cell_angle_alpha 90.00
_cell_angle_beta 90.00
_cell_angle_gamma 90.00
loop_
_atom_site_label
_atom_site_fract_x
_atom_site_fract_y
_atom_site_fract_z
_atom_site_occupancy
Lu1 0.000 0.000 0.000 1
Al1 0.000 0.000 0.331 1
Al2 0.000 0.309 0.500 1
Al3 0.000 0.345 0.000 1
Cr1 0.000 0.500 0.259 1
Cr2 0.250 0.250 0.250 1
```

=====

The following is a DFT calculation (GGA-PBE) of crystalline ZnCo2CuN at its relaxed geometry.

Summary:
For the density, the calculation gives 8.0 Mg/m³. As for the formation energy without anion corrections: 0.019 eV per atom. The total energy comes out at -5.562 eV/atom. Its density of states at the Fermi level is 2.71 states/eV/cell. The magnetic moment is 1.00 μB/f.u.

Structure (CIF):
```
data_ZnCo2CuN
_symmetry_space_group_name_H-M 'P 4/m m m'
_symmetry_Int_Tables_number 123
_symmetry_space_group_name_Hall '-P 4 2'
_cell_length_a 3.715
_cell_length_b 3.715
_cell_length_c 3.920
_cell_angle_alpha 90.00
_cell_angle_beta 90.00
_cell_angle_gamma 90.00
loop_
_atom_site_label
_atom_site_fract_x
_atom_site_fract_y
_atom_site_fract_z
_atom_site_occupancy
Zn1 0.000 0.000 0.000 1
Co1 0.000 0.500 0.500 1
Cu1 0.500 0.500 0.000 1
N1 0.500 0.500 0.500 1
```

=====

The following is a DFT calculation (GGA-PBE) of crystalline In2HI6 at its relaxed geometry.

Summary:
For the density, the calculation gives 3.6 Mg/m³. The total energy comes out at -2.316 eV/atom. Its density of states at the Fermi level is 11.64 states/eV/cell. The magnetic moment is 0.00 μB/f.u.

Structure (CIF):
```
data_In2HI6
_symmetry_space_group_name_H-M 'C 1 2/c 1'
_symmetry_Int_Tables_number 15
_cell_length_a 15.214
_cell_length_b 13.192
_cell_length_c 9.429
_cell_angle_alpha 90.00
_cell_angle_beta 105.64
_cell_angle_gamma 90.00
loop_
_symmetry_equiv_pos_as_xyz
'x,y,z'
'-x,-y,-z'
'-x,y,-z+1/2'
'x,-y,z+1/2'
'x+1/2,y+1/2,z'
'-x+1/2,-y+1/2,-z'
'-x+1/2,y+1/2,-z+1/2'
'x+1/2,-y+1/2,z+1/2'
loop_
_atom_site_label
_atom_site_fract_x
_atom_site_fract_y
_atom_site_fract_z
_atom_site_occupancy
In1 0.196 0.105 0.227 1
H1 0.000 0.289 0.250 1
I1 0.110 0.304 0.188 1
I2 0.120 0.361 0.703 1
I3 0.127 0.001 0.944 1
```

=====

The following is a DFT calculation (GGA-PBE) of crystalline Th2BiPt9 at its relaxed geometry.

Summary:
For the density, the calculation gives 17.9 Mg/m³. The total energy comes out at -6.833 eV/atom. Its formation energy is -72 kJ/mol of atoms. Its density of states at the Fermi level is 3.32 states/eV/cell. The magnetic moment is 0.00 μB/f.u.

Structure (CIF):
```
data_Th2BiPt9
_symmetry_space_group_name_H-M 'P 4/m m m'
_symmetry_Int_Tables_number 123
_symmetry_space_group_name_Hall '-P 4 2'
_cell_length_a 4.218
_cell_length_b 4.218
_cell_length_c 12.634
_cell_angle_alpha 90.00
_cell_angle_beta 90.00
_cell_angle_gamma 90.00
loop_
_atom_site_label
_atom_site_fract_x
_atom_site_fract_y
_atom_site_fract_z
_atom_site_occupancy
Th1 0.000 0.000 0.169 1
Bi1 0.000 0.000 0.500 1
Pt1 0.000 0.500 0.000 1
Pt2 0.000 0.500 0.332 1
Pt3 0.500 0.500 0.167 1
Pt4 0.500 0.500 0.500 1
```